(1)
Entry from the Alexandria database: a relaxed structure of ZrBeAs2 (PBE).

The calculation puts the formation enthalpy at 0 K at -358 meV/atom. The value obtained for the density of states at the Fermi level is 0.210 states/eV/atom.

abc: 3.6711 3.6711 5.5514
angles: 90.00 90.00 90.00
Space group P4mm (No. 99)
Inequivalent atoms, fractional coordinates:
Zr (0.0000, 0.0000, 0.0000)
Be (0.5000, 0.5000, 0.6897)
As (0.0000, 0.0000, 0.5373)
As (0.5000, 0.5000, 0.1158)

---

(2)
Entry from the Alexandria database: a relaxed structure of PmPr2Pd3 (PBE).

The calculation puts the formation enthalpy at 0 K at -667 meV/atom. The value obtained for the density of states at the Fermi level is 0.719 states/eV/atom.

abc: 13.3577 5.9680 8.4429
angles: 90.00 108.52 90.00
Space group C2/c (No. 15)
Inequivalent atoms, fractional coordinates:
Pm (0.0000, 0.0020, 0.2500)
Pr (0.1671, 0.4980, 0.0836)
Pd (0.0000, 0.4979, 0.7500)
Pd (0.1639, 0.0021, 0.5819)

---

(3)
Entry from the Alexandria database: a relaxed structure of InSb2Pd (PBE).

The calculation puts the calculated total energy at -4.08 eV/atom. The value obtained for the density of states at the Fermi level is 0.588 states/eV/atom.

abc: 5.5968 5.5968 15.3163
angles: 90.00 90.00 90.00
Space group I-42d (No. 122)
Inequivalent atoms, fractional coordinates:
In (0.0000, 0.0000, 0.0000)
Sb (0.1944, 0.2500, 0.6250)
Pd (0.0000, 0.0000, 0.5000)

---

(4)
Entry from the Alexandria database: a relaxed structure of Cs2TbO3 (PBE).

The calculation puts the calculated total energy at -5.49 eV/atom. The value obtained for the density of states at the Fermi level is 1.036 states/eV/atom.

abc: 11.6787 7.7657 6.5118
angles: 90.00 90.00 90.00
Space group Cmc2_1 (No. 36)
Inequivalent atoms, fractional coordinates:
Cs (0.1635, 0.1408, 0.0000)
Tb (0.0000, 0.4092, 0.5387)
O (0.0000, 0.1408, 0.6085)
O (0.1194, 0.4768, 0.2744)

---

(5)
Entry from the Alexandria database: a relaxed structure of HfTi3Pb (PBE).

Its relative energy among the computed polymorphs is 0.905 eV/atom. The calculation puts the formation enthalpy at 0 K at 1030 meV/atom. The value obtained for the density of states at the Fermi level is 1.261 states/eV/atom.

abc: 4.8913 4.8913 4.8913
angles: 90.00 90.00 90.00
Space group Pm-3m (No. 221)
Inequivalent atoms, fractional coordinates:
Hf (0.0000, 0.0000, 0.0000)
Ti (0.0000, 0.0000, 0.5000)
Pb (0.5000, 0.5000, 0.5000)

---

(6)
Entry from the Alexandria database: a relaxed structure of TcRuSe2 (PBE).

Its relative energy among the computed polymorphs is 0.705 eV/atom. The value obtained for the density of states at the Fermi level is 1.413 states/eV/atom.

abc: 2.9991 4.0765 5.4768
angles: 90.00 90.00 90.00
Space group Pmmm (No. 47)
Inequivalent atoms, fractional coordinates:
Tc (0.0000, 0.0000, 0.0000)
Ru (0.5000, 0.0000, 0.5000)
Se (0.0000, 0.5000, 0.5000)
Se (0.5000, 0.5000, 0.0000)

---

(7)
Entry from the Alexandria database: a relaxed structure of Li4ZrZn (PBE).

The calculation puts the formation enthalpy at 0 K at 177 meV/atom. The value obtained for the density of states at the Fermi level is 0.339 states/eV/atom.

abc: 7.3261 7.3261 7.3261
angles: 90.00 90.00 90.00
Space group F-43m (No. 216)
Inequivalent atoms, fractional coordinates:
Li (0.1239, 0.1239, 0.1239)
Zr (0.0000, 0.0000, 0.5000)
Zn (0.2500, 0.2500, 0.7500)

---

(8)
Entry from the Alexandria database: a relaxed structure of Ca3Pd4Au (PBE).

The calculation puts the formation enthalpy at 0 K at -590 meV/atom. The value obtained for the density of states at the Fermi level is 0.223 states/eV/atom.

abc: 4.4273 8.8889 8.6965
angles: 90.00 90.00 90.00
Space group Pmmn (No. 59, origin choice 2)
Inequivalent atoms, fractional coordinates:
Ca (0.2500, 0.0300, 0.1730)
Ca (0.2500, 0.7500, 0.6016)
Pd (0.2500, 0.0869, 0.5724)
Pd (0.2500, 0.7500, 0.2978)
Pd (0.2500, 0.7500, 0.9378)
Au (0.2500, 0.2500, 0.8797)

---

(9)
Entry from the Alexandria database: a relaxed structure of TbScInPb (PBE).

The calculation puts the formation enthalpy at 0 K at -350 meV/atom. The value obtained for the density of states at the Fermi level is 0.965 states/eV/atom.

abc: 7.4576 7.4576 7.4576
angles: 90.00 90.00 90.00
Space group F-43m (No. 216)
Inequivalent atoms, fractional coordinates:
Tb (0.0000, 0.0000, 0.0000)
Sc (0.0000, 0.0000, 0.5000)
In (0.2500, 0.2500, 0.2500)
Pb (0.2500, 0.2500, 0.7500)

---

(10)
Entry from the Alexandria database: a relaxed structure of KAlCuCl6 (PBE).

The calculation puts the calculated total energy at -3.49 eV/atom.

abc: 6.1816 6.1817 6.9474
angles: 92.56 92.68 114.38
Space group P1 (No. 1)
Inequivalent atoms, fractional coordinates:
K (0.0000, 0.0000, 0.0000)
Al (0.6545, 0.3453, 0.5004)
Cu (0.3108, 0.6883, 0.5009)
Cl (0.3544, 0.0390, 0.6681)
Cl (0.3640, 0.4092, 0.2997)
Cl (0.5905, 0.6348, 0.7016)
Cl (0.6345, 0.0577, 0.2813)
Cl (0.9428, 0.3655, 0.7197)
Cl (0.9604, 0.6465, 0.3335)

---

(11)
Entry from the Alexandria database: a relaxed structure of Cs2CePu3O12 (PBE).

The calculation puts the calculated total energy at -8.72 eV/atom. The value obtained for the density of states at the Fermi level is 0.665 states/eV/atom.

abc: 7.9603 7.9603 19.1695
angles: 90.00 90.00 120.00
Space group R-3m (No. 166, hexagonal axes)
Inequivalent atoms, fractional coordinates:
Cs (0.0000, 0.0000, 0.1237)
Ce (0.0000, 0.0000, 0.5000)
Pu (0.0000, 0.5000, 0.0000)
O (0.0601, 0.5301, 0.1019)
O (0.0827, 0.5414, 0.3508)

---

(12)
Entry from the Alexandria database: a relaxed structure of Pr3CuHg (PBE).

Its relative energy among the computed polymorphs is 0.000 eV/atom. The calculation puts the formation enthalpy at 0 K at -205 meV/atom. The value obtained for the density of states at the Fermi level is 1.096 states/eV/atom.

abc: 5.3284 20.1608 5.3336
angles: 90.00 90.00 90.00
Space group Cmcm (No. 63)
Inequivalent atoms, fractional coordinates:
Pr (0.0000, 0.0658, 0.2500)
Pr (0.0000, 0.2499, 0.2500)
Pr (0.0000, 0.4342, 0.2500)
Cu (0.0000, 0.1555, 0.7500)
Hg (0.0000, 0.3436, 0.7500)

---

(13)
Entry from the Alexandria database: a relaxed structure of LiCa3 (PBE).

Its relative energy among the computed polymorphs is 0.055 eV/atom. The calculation puts the formation enthalpy at 0 K at 87 meV/atom. The value obtained for the density of states at the Fermi level is 1.085 states/eV/atom.

abc: 8.4264 8.4264 8.4264
angles: 90.00 90.00 90.00
Space group Fm-3m (No. 225)
Inequivalent atoms, fractional coordinates:
Li (0.0000, 0.0000, 0.0000)
Ca (0.0000, 0.0000, 0.5000)
Ca (0.2500, 0.2500, 0.2500)

---

(14)
Entry from the Alexandria database: a relaxed structure of Zr2VNi (PBE).

Its relative energy among the computed polymorphs is 0.000 eV/atom. The calculation puts the formation enthalpy at 0 K at -118 meV/atom. The value obtained for the density of states at the Fermi level is 0.959 states/eV/atom.

abc: 3.2422 3.2422 6.6205
angles: 90.00 90.00 90.00
Space group P4/mmm (No. 123)
Inequivalent atoms, fractional coordinates:
Zr (0.0000, 0.0000, 0.2464)
V (0.5000, 0.5000, 0.5000)
Ni (0.5000, 0.5000, 0.0000)

---

(15)
Entry from the Alexandria database: a relaxed structure of BaMgTl11 (PBE).

The calculation puts the formation enthalpy at 0 K at -75 meV/atom. The value obtained for the density of states at the Fermi level is 0.431 states/eV/atom.

abc: 6.3067 16.0390 8.5731
angles: 90.00 109.73 90.00
Space group C2/m (No. 12)
Inequivalent atoms, fractional coordinates:
Ba (0.0000, 0.0000, 0.0000)
Mg (0.0000, 0.5000, 0.5000)
Tl (0.0000, 0.0000, 0.5000)
Tl (0.0987, 0.3960, 0.2160)
Tl (0.1800, 0.1764, 0.3608)
Tl (0.2500, 0.2500, 0.0000)

---

(16)
Entry from the Alexandria database: a relaxed structure of PaBi6O12 (PBE).

The calculation puts the calculated total energy at -6.49 eV/atom. The value obtained for the density of states at the Fermi level is 0.595 states/eV/atom.

abc: 10.5208 10.5208 9.7240
angles: 90.00 90.00 120.00
Space group R-3 (No. 148, hexagonal axes)
Inequivalent atoms, fractional coordinates:
Pa (0.0000, 0.0000, 0.0000)
Bi (0.0395, 0.2430, 0.6532)
O (0.0312, 0.1870, 0.8777)
O (0.0357, 0.2070, 0.3893)

---

(17)
Entry from the Alexandria database: a relaxed structure of Li4SbPd6 (PBE).

The calculation puts the calculated total energy at -4.04 eV/atom. The value obtained for the density of states at the Fermi level is 0.334 states/eV/atom.

abc: 6.1129 6.1129 8.7084
angles: 90.00 90.00 90.00
Space group I-42m (No. 121)
Inequivalent atoms, fractional coordinates:
Li (0.1678, 0.1678, 0.4329)
Sb (0.0000, 0.0000, 0.0000)
Pd (0.0000, 0.5000, 0.0000)
Pd (0.1694, 0.1694, 0.7275)

---

(18)
Entry from the Alexandria database: a relaxed structure of Re2RuAu (PBE).

Its relative energy among the computed polymorphs is 0.147 eV/atom. The calculation puts the formation enthalpy at 0 K at 359 meV/atom. The value obtained for the density of states at the Fermi level is 1.059 states/eV/atom.

abc: 3.9574 3.9574 7.7534
angles: 90.00 90.00 90.00
Space group I-4m2 (No. 119)
Inequivalent atoms, fractional coordinates:
Re (0.0000, 0.0000, 0.0000)
Re (0.0000, 0.5000, 0.2500)
Ru (0.0000, 0.5000, 0.7500)
Au (0.0000, 0.0000, 0.5000)

---

(19)
Entry from the Alexandria database: a relaxed structure of MnP2Pb (PBE).

The calculation puts the formation enthalpy at 0 K at 56 meV/atom. The value obtained for the density of states at the Fermi level is 0.681 states/eV/atom.

abc: 3.0924 3.0924 26.2145
angles: 90.00 90.00 120.00
Space group R-3m (No. 166, hexagonal axes)
Inequivalent atoms, fractional coordinates:
Mn (0.0000, 0.0000, 0.0000)
P (0.0000, 0.0000, 0.2761)
Pb (0.0000, 0.0000, 0.5000)

---

(20)
Entry from the Alexandria database: a relaxed structure of Y2Mo (PBE).

Its relative energy among the computed polymorphs is 0.395 eV/atom. The calculation puts the formation enthalpy at 0 K at 541 meV/atom. The value obtained for the density of states at the Fermi level is 1.232 states/eV/atom.

abc: 3.4324 3.4324 15.1798
angles: 90.00 90.00 120.00
Space group P-6m2 (No. 187)
Inequivalent atoms, fractional coordinates:
Y (0.0000, 0.0000, 0.0000)
Y (0.0000, 0.0000, 0.2993)
Y (0.3333, 0.6667, 0.5000)
Mo (0.3333, 0.6667, 0.1527)

---

For each record above, in turn, the calculated size of the total moment values are 0.0 0.0 0.0 1.0 1.5 0.0 0.0 0.0 0.0 0.9 6.0 0.3 0.0 0.6 0.0 0.0 0.0 0.0 0.6 1.8 μB/f.u..